A relaxed structure of LiZr6Ir5. Source: Alexandria via LeMat-Bulk, functional GGA-PBE.

Cell lengths 4.605, 6.723, 14.143 Å; angles 90.00, 90.00, 90.00 degrees
Space group Immm (No. 71)
Unique sites:
Li  0.000  0.000  0.000 x2
Zr  0.000  0.244  0.500 x4
Zr  0.000  0.254  0.167 x8
Ir  0.000  0.000  0.322 x4
Ir  0.000  0.500  0.000 x2
Ir  0.000  0.500  0.348 x4

Values from the calculation:
Total magnetization in μB per atom: 0.000
ΔH_f (0 K) in eV/atom: -0.694


A relaxed structure of LiZr4Ir. Source: Alexandria via LeMat-Bulk, functional GGA-PBE.

Cell lengths 7.957, 7.957, 7.957 Å; angles 90.00, 90.00, 90.00 degrees
Space group F-43m (No. 216)
Unique sites:
Li  0.000  0.000  0.000 x4
Zr  0.123  0.123  0.623 x16
Ir  0.250  0.250  0.250 x4

Values from the calculation:
Total magnetization in μB per atom: 0.000
ΔH_f (0 K) in eV/atom: 0.449


A relaxed structure of Li2ZrIr. Source: Alexandria via LeMat-Bulk, functional GGA-PBE.

Cell lengths 3.110, 3.599, 6.443 Å; angles 90.00, 90.36, 90.00 degrees
Space group Pm (No. 6)
Unique sites:
Li  0.000  0.000  0.000 x1
Li  0.498  0.500  0.204 x1
Zr  0.500  0.500  0.646 x1
Ir  0.997  0.000  0.447 x1

Values from the calculation:
Distance to the lowest polymorph of the same formula in eV per atom: 0.070
Total magnetization in μB per atom: 0.000
ΔH_f (0 K) in eV/atom: -0.226


A relaxed structure of Li2ZrIr. Source: Alexandria via LeMat-Bulk, functional GGA-PBE.

Cell lengths 3.752, 3.752, 20.390 Å; angles 90.00, 90.00, 90.00 degrees
Space group I-42d (No. 122)
Unique sites:
Li  0.204  0.750  0.125 x8
Zr  0.000  0.000  0.500 x4
Ir  0.000  0.000  0.000 x4

Values from the calculation:
Distance to the lowest polymorph of the same formula in eV per atom: 0.167
Total magnetization in μB per atom: 0.000
ΔH_f (0 K) in eV/atom: -0.128


A relaxed structure of Li2ZrIr. Source: Alexandria via LeMat-Bulk, functional GGA-PBE.

Cell lengths 2.699, 2.699, 9.281 Å; angles 90.00, 90.00, 90.00 degrees
Space group P4/mmm (No. 123)
Unique sites:
Li  0.000  0.000  0.208 x2
Zr  0.500  0.500  0.500 x1
Ir  0.500  0.500  0.000 x1

Values from the calculation:
Distance to the lowest polymorph of the same formula in eV per atom: 0.462
Total magnetization in μB per atom: 0.000
ΔH_f (0 K) in eV/atom: 0.167


A relaxed structure of LiZr2Ir2. Source: Alexandria via LeMat-Bulk, functional GGA-PBE.

Cell lengths 7.898, 7.898, 3.072 Å; angles 90.00, 90.00, 90.00 degrees
Space group P4/mbm (No. 127)
Unique sites:
Li  0.000  0.000  0.000 x2
Zr  0.150  0.350  0.000 x4
Ir  0.145  0.645  0.500 x4

Values from the calculation:
Distance to the lowest polymorph of the same formula in eV per atom: 0.116
Total magnetization in μB per atom: 0.000
ΔH_f (0 K) in eV/atom: -0.514


A relaxed structure of Li2ZrIr. Source: Alexandria via LeMat-Bulk, functional GGA-PBE.

Cell lengths 6.145, 6.145, 6.145 Å; angles 90.00, 90.00, 90.00 degrees
Space group Fm-3m (No. 225)
Unique sites:
Li  0.250  0.250  0.250 x8
Zr  0.000  0.000  0.000 x4
Ir  0.000  0.000  0.500 x4

Values from the calculation:
Distance to the lowest polymorph of the same formula in eV per atom: 0.249
Total magnetization in μB per atom: 0.000
ΔH_f (0 K) in eV/atom: -0.046


A relaxed structure of Li2ZrIr. Source: Alexandria via LeMat-Bulk, functional GGA-PBE.

Cell lengths 3.678, 3.890, 9.253 Å; angles 90.00, 90.00, 90.00 degrees
Space group Immm (No. 71)
Unique sites:
Li  0.000  0.000  0.245 x4
Zr  0.000  0.500  0.000 x2
Ir  0.000  0.500  0.500 x2

Values from the calculation:
Distance to the lowest polymorph of the same formula in eV per atom: 0.013
Total magnetization in μB per atom: 0.000
ΔH_f (0 K) in eV/atom: -0.283


A relaxed structure of Li2ZrIr. Source: Alexandria via LeMat-Bulk, functional GGA-PBE.

Cell lengths 6.364, 6.364, 6.364 Å; angles 90.00, 90.00, 90.00 degrees
Space group F-43m (No. 216)
Unique sites:
Li  0.000  0.000  0.000 x4
Li  0.250  0.250  0.250 x4
Zr  0.000  0.000  0.500 x4
Ir  0.250  0.250  0.750 x4

Values from the calculation:
Distance to the lowest polymorph of the same formula in eV per atom: 0.000
Total magnetization in μB per atom: 0.000
ΔH_f (0 K) in eV/atom: -0.295


A relaxed structure of LiZr5Ir6. Source: Alexandria via LeMat-Bulk, functional GGA-PBE.

Cell lengths 4.719, 6.258, 14.258 Å; angles 90.00, 90.00, 90.00 degrees
Space group Immm (No. 71)
Unique sites:
Li  0.000  0.000  0.000 x2
Zr  0.000  0.000  0.336 x4
Zr  0.000  0.500  0.000 x2
Zr  0.000  0.500  0.340 x4
Ir  0.000  0.247  0.500 x4
Ir  0.000  0.251  0.171 x8

Values from the calculation:
Total magnetization in μB per atom: 0.000
ΔH_f (0 K) in eV/atom: -0.729


A relaxed structure of Li2ZrIr. Source: Alexandria via LeMat-Bulk, functional GGA-PBE.

Cell lengths 5.192, 8.126, 2.991 Å; angles 90.00, 90.00, 90.00 degrees
Space group Cmmm (No. 65)
Unique sites:
Li  0.250  0.250  0.000 x4
Zr  0.000  0.000  0.500 x2
Ir  0.000  0.500  0.500 x2

Values from the calculation:
Distance to the lowest polymorph of the same formula in eV per atom: 0.323
Total magnetization in μB per atom: 0.000
ΔH_f (0 K) in eV/atom: 0.028


A relaxed structure of Li2ZrIr. Source: Alexandria via LeMat-Bulk, functional GGA-PBE.

Cell lengths 2.7845, 2.7845, 29.9785 Å; angles 90.00, 90.00, 120.00 degrees
Space group R-3m (No. 166, hexagonal axes)
Unique sites:
Li  0.0000  0.0000  0.2381 x6
Zr  0.0000  0.0000  0.0000 x3
Ir  0.0000  0.0000  0.5000 x3

Values from the calculation:
Distance to the lowest polymorph of the same formula in eV per atom: 0.354
Total magnetization in μB per atom: 0.007
ΔH_f (0 K) in eV/atom: 0.058


A relaxed structure of Li2ZrIr. Source: Alexandria via LeMat-Bulk, functional GGA-PBE.

Cell lengths 2.874, 4.690, 9.983 Å; angles 90.00, 90.00, 90.00 degrees
Space group Cmmm (No. 65)
Unique sites:
Li  0.000  0.000  0.214 x4
Zr  0.000  0.500  0.500 x2
Ir  0.000  0.500  0.000 x2

Values from the calculation:
Distance to the lowest polymorph of the same formula in eV per atom: 0.375
Total magnetization in μB per atom: 0.000
ΔH_f (0 K) in eV/atom: 0.079


A relaxed structure of LiZr2Ir2. Source: Alexandria via LeMat-Bulk, functional GGA-PBE.

Cell lengths 4.092, 5.653, 7.704 Å; angles 90.00, 90.00, 90.00 degrees
Space group Immm (No. 71)
Unique sites:
Li  0.000  0.000  0.000 x2
Zr  0.000  0.500  0.202 x4
Ir  0.000  0.237  0.500 x4

Values from the calculation:
Distance to the lowest polymorph of the same formula in eV per atom: 0.000
Total magnetization in μB per atom: 0.000
ΔH_f (0 K) in eV/atom: -0.630


A relaxed structure of Li3ZrIr. Source: Alexandria via LeMat-Bulk, functional GGA-PBE.

Cell lengths 4.443, 4.443, 4.443 Å; angles 90.00, 90.00, 90.00 degrees
Space group Pm-3m (No. 221)
Unique sites:
Li  0.000  0.000  0.500 x3
Zr  0.500  0.500  0.500 x1
Ir  0.000  0.000  0.000 x1

Values from the calculation:
Distance to the lowest polymorph of the same formula in eV per atom: 0.000
Total magnetization in μB per atom: 0.000
ΔH_f (0 K) in eV/atom: 0.598


A relaxed structure of Li2ZrIr. Source: Alexandria via LeMat-Bulk, functional GGA-PBE.

Cell lengths 5.331, 10.185, 3.071 Å; angles 90.00, 123.16, 90.00 degrees
Space group C2/m (No. 12)
Unique sites:
Li  0.250  0.250  0.000 x4
Zr  0.000  0.000  0.500 x2
Ir  0.000  0.500  0.500 x2

Values from the calculation:
Distance to the lowest polymorph of the same formula in eV per atom: 0.183
Total magnetization in μB per atom: 0.000
ΔH_f (0 K) in eV/atom: -0.112


A relaxed structure of Li2ZrIr. Source: Alexandria via LeMat-Bulk, functional GGA-PBE.

Cell lengths 3.068, 4.938, 4.520 Å; angles 90.00, 93.31, 90.00 degrees
Space group P2/m (No. 10)
Unique sites:
Li  0.203  0.000  0.283 x2
Zr  0.500  0.500  0.000 x1
Ir  0.000  0.500  0.500 x1

Values from the calculation:
Distance to the lowest polymorph of the same formula in eV per atom: 0.113
Total magnetization in μB per atom: 0.000
ΔH_f (0 K) in eV/atom: -0.183


A relaxed structure of LiZr2Ir2. Source: Alexandria via LeMat-Bulk, functional GGA-PBE.

Cell lengths 7.760, 7.760, 3.161 Å; angles 90.00, 90.00, 90.00 degrees
Space group P4/mbm (No. 127)
Unique sites:
Li  0.000  0.000  0.000 x2
Zr  0.156  0.344  0.500 x4
Ir  0.140  0.640  0.000 x4

Values from the calculation:
Distance to the lowest polymorph of the same formula in eV per atom: 0.028
Total magnetization in μB per atom: 0.000
ΔH_f (0 K) in eV/atom: -0.602


A relaxed structure of Li2ZrIr. Source: Alexandria via LeMat-Bulk, functional GGA-PBE.

Cell lengths 2.796, 4.306, 5.291 Å; angles 90.00, 90.00, 90.00 degrees
Space group Pmmm (No. 47)
Unique sites:
Li  0.000  0.000  0.208 x2
Zr  0.500  0.500  0.500 x1
Ir  0.500  0.500  0.000 x1

Values from the calculation:
Distance to the lowest polymorph of the same formula in eV per atom: 0.210
Total magnetization in μB per atom: 0.000
ΔH_f (0 K) in eV/atom: -0.086


A relaxed structure of Li2ZrIr. Source: Alexandria via LeMat-Bulk, functional GGA-PBE.

Cell lengths 3.758, 3.758, 4.795 Å; angles 90.00, 90.00, 90.00 degrees
Space group P4/mmm (No. 123)
Unique sites:
Li  0.000  0.500  0.000 x2
Zr  0.000  0.000  0.500 x1
Ir  0.500  0.500  0.500 x1

Values from the calculation:
Distance to the lowest polymorph of the same formula in eV per atom: 0.027
Total magnetization in μB per atom: 0.000
ΔH_f (0 K) in eV/atom: -0.269


A relaxed structure of Li2Zr2Ir3. Source: Alexandria via LeMat-Bulk, functional GGA-PBE.

Cell lengths 4.576, 4.578, 7.385 Å; angles 90.07, 107.94, 119.93 degrees
Space group P-1 (No. 2)
Unique sites:
Li  0.234  0.367  0.099 x2
Zr  0.276  0.888  0.665 x2
Ir  0.017  0.758  0.275 x2
Ir  0.500  0.500  0.500 x1

Values from the calculation:
Total magnetization in μB per atom: 0.000
ΔH_f (0 K) in eV/atom: -0.438


A relaxed structure of LuIr6. Source: Alexandria via LeMat-Bulk, functional GGA-PBE.

Cell lengths 6.800, 6.800, 6.800 Å; angles 90.00, 90.00, 90.00 degrees
Space group Im-3m (No. 229)
Unique sites:
Lu  0.000  0.000  0.000 x2
Ir  0.000  0.250  0.500 x12

Values from the calculation:
Total magnetization in μB per atom: 0.000
ΔH_f (0 K) in eV/atom: 0.520


A relaxed structure of LuIr2. Source: Alexandria via LeMat-Bulk, functional GGA-PBE.

Cell lengths 7.514, 7.514, 7.514 Å; angles 90.00, 90.00, 90.00 degrees
Space group Fd-3m (No. 227, origin choice 2)
Unique sites:
Lu  0.125  0.125  0.125 x8
Ir  0.000  0.000  0.500 x16

Values from the calculation:
Total magnetization in μB per atom: 0.000
ΔH_f (0 K) in eV/atom: -0.827


A relaxed structure of LuMg2Ir. Source: Alexandria via LeMat-Bulk, functional GGA-PBE.

Cell lengths 3.0659, 3.0659, 29.6186 Å; angles 90.00, 90.00, 120.00 degrees
Space group R-3m (No. 166, hexagonal axes)
Unique sites:
Lu  0.0000  0.0000  0.0000 x3
Mg  0.0000  0.0000  0.2363 x6
Ir  0.0000  0.0000  0.5000 x3

Values from the calculation:
Total magnetization in μB per atom: 0.000
ΔH_f (0 K) in eV/atom: 0.000


A relaxed structure of Lu2MgIr. Source: Alexandria via LeMat-Bulk, functional GGA-PBE.

Cell lengths 6.954, 6.954, 6.954 Å; angles 90.00, 90.00, 90.00 degrees
Space group Fm-3m (No. 225)
Unique sites:
Lu  0.250  0.250  0.250 x8
Mg  0.000  0.000  0.000 x4
Ir  0.000  0.000  0.500 x4

Values from the calculation:
Distance to the lowest polymorph of the same formula in eV per atom: 0.036
Total magnetization in μB per atom: 0.000
ΔH_f (0 K) in eV/atom: -0.528


A relaxed structure of LuMgIr2. Source: Alexandria via LeMat-Bulk, functional GGA-PBE.

Cell lengths 3.269, 3.269, 6.362 Å; angles 90.00, 90.00, 90.00 degrees
Space group P4/mmm (No. 123)
Unique sites:
Lu  0.000  0.000  0.000 x1
Mg  0.000  0.000  0.500 x1
Ir  0.500  0.500  0.264 x2

Values from the calculation:
Total magnetization in μB per atom: 0.000
ΔH_f (0 K) in eV/atom: -0.671


A relaxed structure of LuMgIr2. Source: Alexandria via LeMat-Bulk, functional GGA-PBE.

Cell lengths 4.550, 4.550, 3.294 Å; angles 90.00, 90.00, 90.00 degrees
Space group P4/mmm (No. 123)
Unique sites:
Lu  0.000  0.000  0.000 x1
Mg  0.500  0.500  0.000 x1
Ir  0.000  0.500  0.500 x2

Values from the calculation:
Total magnetization in μB per atom: 0.000
ΔH_f (0 K) in eV/atom: -0.657


A relaxed structure of Lu2MgIr. Source: Alexandria via LeMat-Bulk, functional GGA-PBE.

Cell lengths 3.470, 3.470, 7.484 Å; angles 90.00, 90.00, 90.00 degrees
Space group P4/mmm (No. 123)
Unique sites:
Lu  0.000  0.000  0.209 x2
Mg  0.500  0.500  0.500 x1
Ir  0.500  0.500  0.000 x1

Values from the calculation:
Distance to the lowest polymorph of the same formula in eV per atom: 0.000
Total magnetization in μB per atom: 0.000
ΔH_f (0 K) in eV/atom: -0.564